1.
MnTc3S | GGA-PBE | relaxed

Lattice parameters (Å, degrees): 4.4233 4.4233 4.4233 90.00 90.00 90.00
Last column: magnetic moment on the atom in μB.
Element x y z (fractional)
Tc  0.5000  0.0000  0.0000  0.26
Tc  0.0000  0.5000  0.0000  0.26
Mn  0.0000  0.0000  0.0000  -0.05
Tc  0.0000  0.0000  0.5000  0.21
S  0.5000  0.5000  0.5000  -0.04

Computed properties:
Energy relative to the lowest polymorph listed for this composition   0.642 eV/atom
N(E_F)   1.3147 states/eV per atom
Crystal system   cubic
E_form (uncorrected)   720 kJ/mol of formula units



2.
MnTe3S | GGA-PBE | relaxed

Lattice parameters (Å, degrees): 4.9767 4.9767 4.9767 90.00 90.00 90.00
Element x y z (fractional)
Te  0.0000  0.5000  0.0000
Mn  0.0000  0.0000  0.0000
S  0.5000  0.5000  0.5000
Te  0.5000  0.0000  0.0000
Te  0.0000  0.0000  0.5000

Computed properties:
Energy relative to the lowest polymorph listed for this composition   0.000 eV/atom
N(E_F)   1.7167 states/eV per atom
Crystal system   cubic
E_form (uncorrected)   297 kJ/mol of formula units